AcCoPdO6 | PBE with a Hubbard U | optimized geometry

```
AcCoPdO6
1.0
-1.0101 -1.1984 5.0862
-4.5261 -1.9994 -1.3699
4.1849 -2.9714 0.1310
O Ac Co Pd
6 1 1 1
direct
0.2974 0.3130 0.2770 O
0.7026 0.7230 0.6870 O
0.2974 0.9640 0.6870 O
0.7026 0.3130 0.0360 O
0.7026 0.9640 0.2770 O
0.2974 0.7230 0.0360 O
0.0000 0.3333 0.6667 Ac
0.5000 0.0000 0.0000 Co
0.5000 0.6667 0.3333 Pd
```

Output
Raw total energy   -55.85 eV/f.u.